## BaPm2Rh (PBE-GGA)

Data for a relaxed structure of BaPm2Rh.

a = 3.642 Å, b = 3.642 Å, c = 9.994 Å
α = 90.00°, β = 90.00°, γ = 90.00°
Fractional coordinates of all 4 atoms:
Ba1 0.000 0.000 0.000
Pm1 0.500 0.500 0.338
Pm2 0.500 0.500 0.662
Rh1 0.000 0.000 0.500

Properties
**Energy above the most stable polymorph in this dataset**: 91.3 meV per atom
**Total DFT energy (no corrections)**: -0.1820 hartree per atom
**SG**: No. 123